Entry from Alexandria via LeMat-Bulk: a PBEsol-optimized structure of PbAu2 (SCAN).

Computed properties:
Formation energy ... 0.03 eV per atom

extended XYZ file:
```
3
Lattice="-1.8880 1.8880 4.3447 1.8880 -1.8880 4.3447 1.8880 1.8880 -4.3447" Properties=species:S:1:pos:R:3 pbc="T T T"
Pb 0.0000 0.0000 0.0000
Au 0.0000 0.0000 2.8805
Au 0.0000 0.0000 5.8088
```

---

Entry from Alexandria via LeMat-Bulk: a PBEsol-optimized structure of Cr2TcNi (SCAN).

Computed properties:
Formation energy ... 0.10 eV per atom

extended XYZ file:
```
4
Lattice="-1.8178 1.8178 3.5391 1.8178 -1.8178 3.5391 1.8178 1.8178 -3.5391" Properties=species:S:1:pos:R:3 pbc="T T T"
Cr 0.0000 0.0000 0.0000
Cr 0.0000 1.8178 1.7695
Tc 1.8178 0.0000 1.7695
Ni 0.0000 0.0000 3.5391
```

---

Entry from Alexandria via LeMat-Bulk: a PBEsol-optimized structure of K2SrTi10O22 (SCAN).

Computed properties:
Raw formation energy ... -3262.9 meV/atom

extended XYZ file:
```
35
Lattice="7.6643 -1.8897 0.0000 7.6643 1.8897 0.0000 -3.4559 0.0000 15.1100" Properties=species:S:1:pos:R:3 pbc="T T T"
K 0.0000 0.0000 0.0000
K -1.3262 0.0000 10.5758
Sr 13.3838 0.0000 5.6369
Ti 2.8074 0.0000 5.7574
Ti 1.3891 0.0000 14.7685
Ti 3.3230 0.0000 8.7750
Ti 5.1562 0.0000 2.7037
Ti 3.6628 0.0000 11.8681
Ti 8.3865 0.0000 4.4775
Ti 6.9148 0.0000 13.6091
Ti 8.6429 0.0000 7.6418
Ti 10.6086 0.0000 1.6284
Ti 9.1799 0.0000 10.6714
O 0.9816 0.0000 4.7967
O -0.3750 0.0000 13.7496
O 1.5380 0.0000 7.5617
O 3.4673 0.0000 1.5287
O 1.9697 0.0000 10.5091
O 4.0634 0.0000 4.5248
O 2.6197 0.0000 13.4878
O 4.1871 0.0000 7.1246
O 6.0554 0.0000 1.1040
O 4.5486 0.0000 10.0705
O 6.6481 0.0000 3.8727
O 5.3008 0.0000 12.6902
O 7.3193 0.0000 6.4090
O 9.4807 0.0000 0.2093
O 7.8601 0.0000 9.2722
O 9.3926 0.0000 2.9531
O 7.9995 0.0000 11.9763
O 10.0032 0.0000 5.8750
O 8.5932 0.0000 14.9192
O 10.4677 0.0000 8.8222
O 12.4104 0.0000 2.7378
O 10.9548 0.0000 11.6722
```

---

Entry from Alexandria via LeMat-Bulk: a PBEsol-optimized structure of PRuSI2 (SCAN).

Computed properties:
Raw formation energy ... 992.2 meV/atom

extended XYZ file:
```
5
Lattice="5.4532 0.0000 0.0000 0.0000 5.4532 0.0000 0.0000 0.0000 4.2311" Properties=species:S:1:pos:R:3 pbc="T T T"
P 0.0000 0.0000 0.0000
Ru 2.7266 2.7266 2.1156
S 0.0000 0.0000 2.1156
I 0.0000 2.7266 0.0000
I 2.7266 0.0000 0.0000
```

---

Entry from Alexandria via LeMat-Bulk: a PBEsol-optimized structure of CaCoP2O7 (SCAN).

Computed properties:
Raw formation energy ... -2541.5 meV/atom
Distance to the lowest polymorph of the same formula ... 0.0148 eV/atom

extended XYZ file:
```
44
Lattice="7.2874 0.0000 0.0000 0.0000 8.6308 0.0000 -4.1279 0.0000 8.0455" Properties=species:S:1:pos:R:3 pbc="T T T"
Ca 0.1033 0.4445 3.1426
Ca -1.9606 3.8709 7.1653
Ca 5.1201 4.7599 0.8802
Ca 3.0562 8.1863 4.9029
Co -1.6885 0.5510 7.1213
Co 0.3754 3.7644 3.0985
Co 2.7841 4.8664 4.9469
Co 4.8480 8.0798 0.9242
P -1.7127 6.4607 3.7283
P -3.7767 6.4855 7.7510
P 2.2546 6.3116 2.1553
P 0.1907 6.6346 6.1781
P 2.9688 1.9962 1.8674
P 0.9049 2.3192 5.8902
P 6.9361 2.1453 0.2945
P 4.8722 2.1701 4.3172
O -2.4225 0.9142 5.2042
O -0.3586 3.4012 1.1814
O -1.1415 5.2135 3.0639
O -3.2055 7.7327 7.0866
O -3.1266 1.9469 7.6683
O -1.0626 2.3685 3.6456
O 1.3580 5.9786 0.8616
O -0.7060 6.9677 4.8844
O 1.5550 2.0893 2.4337
O -0.5089 2.2261 6.4565
O -0.2587 5.3580 6.8724
O 1.8052 7.5882 2.8496
O 2.0160 5.0615 3.0351
O -0.0480 7.8847 7.0578
O 3.2075 0.7461 0.9876
O 1.1435 3.5693 5.0104
O 1.3543 1.0426 5.1959
O 3.4182 3.2728 1.1731
O 3.6684 6.4047 1.5890
O 1.6045 6.5415 5.6118
O 3.8655 1.6632 3.1611
O 1.8015 2.6522 7.1838
O 4.2221 6.2623 4.3999
O 6.2860 6.6839 0.3772
O 6.3650 0.8981 0.9589
O 4.3010 3.4173 4.9816
O 3.5181 5.2296 6.8641
O 5.5820 7.7166 2.8413
```

---

Entry from Alexandria via LeMat-Bulk: a PBEsol-optimized structure of YZrBr2 (SCAN).

Computed properties:
Raw formation energy ... -710.4 meV/atom
Distance to the lowest polymorph of the same formula ... 0.0572 eV/atom

extended XYZ file:
```
4
Lattice="3.3270 -4.6698 0.0000 3.3270 4.6698 0.0000 -1.6464 0.0000 3.0418" Properties=species:S:1:pos:R:3 pbc="T T T"
Y 0.0000 0.0000 0.0000
Zr 3.3270 0.0000 0.0000
Br 1.6635 2.3349 0.0000
Br 1.6635 -2.3349 0.0000
```

---

Entry from Alexandria via LeMat-Bulk: a PBEsol-optimized structure of Ta2CdPt (SCAN).

Computed properties:
Formation energy ... -0.01 eV per atom

extended XYZ file:
```
4
Lattice="3.5175 0.0000 0.0000 0.0000 3.5175 0.0000 0.0000 0.0000 5.6310" Properties=species:S:1:pos:R:3 pbc="T T T"
Ta 0.0000 0.0000 1.2994
Ta 0.0000 0.0000 4.3315
Cd 1.7587 1.7587 2.8155
Pt 1.7587 1.7587 0.0000
```

---

Entry from Alexandria via LeMat-Bulk: a PBEsol-optimized structure of NaCa9MnP7O28 (SCAN).

Computed properties:
Raw formation energy ... -3100.1 meV/atom

extended XYZ file:
```
92
Lattice="5.1760 2.9883 12.3021 -5.1760 2.9883 12.3021 0.0000 -5.9767 12.3021" Properties=species:S:1:pos:R:3 pbc="T T T"
Na 0.0000 0.0000 0.0000
Na 0.0000 0.0000 18.4531
Ca -3.0652 -1.5657 20.1001
Ca -0.1766 -2.5393 13.9490
Ca -2.1108 1.4226 13.9490
Ca -3.1682 1.6784 17.4133
Ca 0.1305 -3.5830 17.4133
Ca -2.0078 -1.3099 23.5644
Ca -3.0849 1.7233 21.3726
Ca 0.0501 -3.5332 21.3726
Ca -2.0911 -1.2651 27.5236
Ca 2.2874 1.1167 13.9490
Ca 2.8886 -1.8717 20.1001
Ca 0.1766 3.4374 20.1001
Ca -0.1305 2.3937 23.5644
Ca 2.1383 -1.0838 23.5644
Ca 3.0377 1.9045 17.4133
Ca -0.0500 2.4435 27.5236
Ca 2.1411 -1.1784 27.5236
Ca 3.0348 1.8099 21.3726
Mn 0.0000 0.0000 11.5807
Mn 0.0000 0.0000 30.0338
P -2.3764 -4.3371 18.8791
P 0.0000 0.0000 2.9513
P -0.1994 -3.2001 10.3775
P -2.6717 1.7727 10.3775
P -2.5043 -1.2157 16.5285
P -2.6081 1.2382 25.0302
P -2.5678 4.2266 18.8792
P 0.2317 -2.8778 25.0302
P 0.0000 0.0000 21.4044
P 2.3049 -1.5610 16.5285
P 0.1994 2.7766 16.5285
P 2.8710 1.4274 10.3775
P 4.9442 0.1105 18.8791
P 2.3764 1.6396 25.0302
O -2.2030 -4.5929 17.3670
O -0.5218 -3.6538 11.8236
O -0.7095 -4.6944 14.7394
O 0.0000 0.0000 4.4962
O -2.8737 0.0424 15.6877
O -4.0795 -0.8659 22.1690
O -2.9034 2.2788 11.8236
O -4.2450 0.8251 19.5935
O -1.4247 -0.6871 13.0388
O -0.0240 -1.6439 10.2420
O -1.4117 0.8428 10.2420
O -1.2899 -2.0108 16.0180
O -2.3023 -2.9459 21.8388
O -3.7107 2.9617 14.7394
O -1.2606 -3.3591 19.3179
O -2.2726 -0.7095 17.9746
O -2.8972 -0.2171 25.4689
O 1.4001 -2.5099 15.6877
O -1.4652 -0.0267 20.8904
O -2.8761 4.2043 17.3670
O 1.3074 -0.8903 13.0387
O 1.4079 -4.0888 19.5935
O -1.0965 2.1225 16.0180
O 0.1173 1.5773 13.0387
O -2.2787 2.7712 19.3179
O 1.4357 0.8012 10.2420
O -2.2999 1.2159 23.5181
O -0.9310 -2.1632 25.7445
O 0.0969 -2.5997 23.5181
O 1.7508 -1.6134 17.9746
O 0.7557 -1.2556 20.8904
O 0.0000 0.0000 22.9494
O -1.4001 3.4668 21.8388
O 2.3864 -0.1117 16.0180
O 0.5218 2.3229 17.9746
O -1.4079 1.8879 25.7445
O -1.3074 -0.8903 31.4919
O -1.4357 0.8011 28.6951
O 0.0240 -1.6439 28.6951
O 2.7896 -3.1000 22.1690
O 1.4736 2.4675 15.6877
O 0.7095 1.2823 20.8904
O 1.6366 -2.4005 25.4689
O 3.4252 1.3750 11.8236
O 3.5393 0.5878 19.3179
O 3.7024 -0.5209 21.8388
O 4.4203 1.7327 14.7394
O 2.2030 1.3838 23.5180
O -0.1173 1.5773 31.4919
O 2.3389 0.2754 25.7446
O 1.2899 3.9659 22.1690
O 1.4247 -0.6871 31.4919
O 1.2606 2.6176 25.4689
O 1.4117 0.8428 28.6951
O 5.0790 0.3886 17.3670
O 2.8371 3.2637 19.5935
```

---

Entry from Alexandria via LeMat-Bulk: a PBEsol-optimized structure of ZrC3 (SCAN).

Computed properties:
Formation energy ... 2.25 eV per atom
Distance to the lowest polymorph of the same formula ... 1.6606 eV/atom

extended XYZ file:
```
4
Lattice="0.0000 2.7087 2.7087 2.7087 0.0000 2.7087 2.7087 2.7087 0.0000" Properties=species:S:1:pos:R:3 pbc="T T T"
Zr 0.0000 0.0000 0.0000
C 1.3544 1.3544 1.3544
C 2.7087 2.7087 2.7087
C 4.0631 4.0631 4.0631
```

---

Entry from Alexandria via LeMat-Bulk: a PBEsol-optimized structure of Be2Au3 (SCAN).

Computed properties:
Formation energy ... -0.26 eV per atom

extended XYZ file:
```
5
Lattice="4.0640 0.0000 0.0000 -2.0320 3.5195 0.0000 0.0000 0.0000 4.9434" Properties=species:S:1:pos:R:3 pbc="T T T"
Be 0.0000 2.3463 1.6295
Be 2.0320 1.1732 3.3139
Au 0.0000 0.0000 2.4717
Au 0.0000 2.3463 4.1327
Au 2.0320 1.1732 0.8107
```

---

Entry from Alexandria via LeMat-Bulk: a PBEsol-optimized structure of SrSbTe2Pb (SCAN).

Computed properties:
Raw formation energy ... 341.7 meV/atom

extended XYZ file:
```
5
Lattice="5.9323 0.0000 0.0000 0.0000 5.9323 0.0000 0.0000 0.0000 5.8135" Properties=species:S:1:pos:R:3 pbc="T T T"
Sr 0.0000 0.0000 0.0000
Sb 0.0000 0.0000 2.9067
Te 0.0000 2.9662 0.0000
Te 2.9662 0.0000 0.0000
Pb 2.9662 2.9662 2.9067
```

---

Entry from Alexandria via LeMat-Bulk: a PBEsol-optimized structure of CrB6H16 (SCAN).

Computed properties:
Total DFT energy (no corrections) ... -5.214 eV per atom

extended XYZ file:
```
23
Lattice="4.1988 0.0000 0.0000 -2.0066 5.1525 0.0000 -0.5191 -2.6497 8.1198" Properties=species:S:1:pos:R:3 pbc="T T T"
Cr 0.0000 0.0000 0.0000
B -1.5584 2.6155 5.0250
B -0.8822 1.9720 6.5564
B 0.6857 -1.5108 6.4810
B 0.9875 4.0137 1.6388
B 2.5553 0.5308 1.5634
B 3.2316 -0.1127 3.0948
H -1.5604 1.2064 7.3018
H -1.1018 1.3389 5.4713
H -0.3288 -1.1442 7.1498
H 0.2244 -1.1702 5.3408
H 0.1639 0.2076 3.3773
H -0.7869 2.7716 4.1076
H 0.0860 3.2366 1.4492
H 1.3731 0.7840 1.3618
H 0.3000 1.7188 6.7580
H 1.5871 -0.7338 6.6707
H 2.4600 -0.2687 4.0122
H 1.5092 2.2952 4.7426
H 1.4487 3.6730 2.7791
H 2.0019 3.6470 0.9700
H 2.7749 1.1639 2.6485
H 3.2336 1.2964 0.8181
```